1.
A plane-wave DFT calculation with PBE was carried out for KLi2Y after structural relaxation.

```
KLi2Y
1.0
1.8094 1.0447 11.9585
-1.8094 1.0447 11.9585
0.0000 -2.0893 11.9585
K Li Y
1 2 1
Direct
0.0000 0.0000 0.0000
0.2409 0.2409 0.2409
0.7591 0.7591 0.7591
0.5000 0.5000 0.5000
```

## Properties
* ΔH_f (0 K): 0.24 eV per atom
* crystal system: trigonal
* D(E_F): 0.859 states/eV per atom
* magnetic moment: 0.462 μB per formula unit

=====

2.
A plane-wave DFT calculation with PBE was carried out for GeSCl3 after structural relaxation.

```
GeSCl3
1.0
5.0618 0.0000 0.0000
0.0000 5.0618 0.0000
0.0000 0.0000 5.0618
Ge S Cl
1 1 3
Direct
0.0000 0.0000 0.0000
0.5000 0.5000 0.5000
0.0000 0.0000 0.5000
0.0000 0.5000 0.0000
0.5000 0.0000 0.0000
```

## Properties
* relative energy among the computed polymorphs: 0.000 eV/atom
* crystal system: cubic
* D(E_F): 1.031 states/eV per atom
* uncorrected formation energy: 0.075 eV/atom
* magnetic moment: 2.545 μB per formula unit

=====

3.
A plane-wave DFT calculation with PBE was carried out for AlGe2TeMo after structural relaxation.

```
AlGe2TeMo
1.0
5.3086 0.0000 0.0000
0.0000 5.3086 0.0000
0.0000 0.0000 5.2430
Al Ge Te Mo
1 2 1 1
Direct
0.0000 0.0000 0.0000
0.0000 0.5000 0.5000
0.5000 0.0000 0.5000
0.0000 0.0000 0.5000
0.5000 0.5000 0.0000
```

## Properties
* crystal system: tetragonal
* D(E_F): 0.658 states/eV per atom
* uncorrected formation energy: 1.605 eV/atom
* magnetic moment: 3.728 μB per formula unit

=====

4.
A plane-wave DFT calculation with PBE was carried out for PuHfNpIr after structural relaxation.

```
PuHfNpIr
1.0
0.0000 3.4056 3.4056
3.4056 0.0000 3.4056
3.4056 3.4056 0.0000
Pu Hf Np Ir
1 1 1 1
Direct
0.0000 0.0000 0.0000
0.5000 0.5000 0.5000
0.7500 0.7500 0.7500
0.2500 0.2500 0.2500
```

## Properties
* ΔH_f (0 K): -0.06 eV per atom
* crystal system: cubic
* D(E_F): 2.771 states/eV per atom
* magnetic moment: 8.441 μB per formula unit

=====

5.
A plane-wave DFT calculation with PBE was carried out for Zr2ZnIr9 after structural relaxation.

```
Zr2ZnIr9
1.0
3.9655 0.0000 0.0000
0.0000 3.9655 0.0000
0.0000 0.0000 11.7628
Zr Zn Ir
2 1 9
Direct
0.0000 0.0000 0.1718
0.0000 0.0000 0.8282
0.0000 0.0000 0.5000
0.0000 0.5000 0.0000
0.0000 0.5000 0.3406
0.0000 0.5000 0.6594
0.5000 0.0000 0.0000
0.5000 0.0000 0.3406
0.5000 0.0000 0.6594
0.5000 0.5000 0.1683
0.5000 0.5000 0.5000
0.5000 0.5000 0.8317
```

## Properties
* ΔH_f (0 K): -0.45 eV per atom
* crystal system: tetragonal
* D(E_F): 1.086 states/eV per atom
* magnetic moment: 0.000 μB per formula unit

=====

6.
A plane-wave DFT calculation with PBE was carried out for Cu2AgMo after structural relaxation.

```
Cu2AgMo
1.0
4.7084 0.0000 0.0000
0.0000 4.7084 0.0000
0.0000 0.0000 2.6358
Cu Ag Mo
2 1 1
Direct
0.0000 0.5000 0.0000
0.5000 0.0000 0.0000
0.0000 0.0000 0.5000
0.5000 0.5000 0.5000
```

## Properties
* relative energy among the computed polymorphs: 0.172 eV/atom
* ΔH_f (0 K): 0.38 eV per atom
* crystal system: tetragonal
* D(E_F): 0.695 states/eV per atom
* magnetic moment: 0.000 μB per formula unit

=====

7.
A plane-wave DFT calculation with PBE was carried out for TcHg2Cl after structural relaxation.

```
TcHg2Cl
1.0
2.9206 -4.3242 0.0000
2.9206 4.3242 0.0000
0.0000 0.0000 3.1577
Tc Hg Cl
1 2 1
Direct
0.0000 0.0000 0.0000
0.0000 0.5000 0.5000
0.5000 0.0000 0.5000
0.5000 0.5000 0.0000
```

## Properties
* relative energy among the computed polymorphs: 0.308 eV/atom
* crystal system: orthorhombic
* D(E_F): 0.747 states/eV per atom
* uncorrected formation energy: 0.517 eV/atom
* magnetic moment: 1.836 μB per formula unit

=====

8.
A plane-wave DFT calculation with PBE was carried out for LaZnOs2 after structural relaxation.

```
LaZnOs2
1.0
3.0966 0.0000 0.0000
0.0000 4.6447 0.0000
0.0000 0.0000 5.0498
La Zn Os
1 1 2
Direct
0.0000 0.0000 0.0000
0.5000 0.0000 0.5000
0.0000 0.5000 0.5000
0.5000 0.5000 0.0000
```

## Properties
* ΔH_f (0 K): 0.56 eV per atom
* crystal system: orthorhombic
* D(E_F): 1.116 states/eV per atom
* magnetic moment: 0.001 μB per formula unit

=====

9.
A plane-wave DFT calculation with PBE was carried out for Sc2Rh after structural relaxation.

```
Sc2Rh
1.0
4.5131 0.0000 0.0000
0.0000 6.3815 0.0000
0.0000 0.0000 4.4961
Sc Rh
4 2
Direct
0.0016 0.2501 0.0000
0.4984 0.7501 0.5000
0.5016 0.2499 0.5000
0.9984 0.7499 0.0000
0.0000 0.0000 0.5000
0.5000 0.5000 0.0000
```

## Properties
* ΔH_f (0 K): -0.60 eV per atom
* crystal system: orthorhombic
* D(E_F): 0.914 states/eV per atom
* magnetic moment: 0.000 μB per formula unit

=====

10.
A plane-wave DFT calculation with PBE was carried out for MgNbRhBr2 after structural relaxation.

```
MgNbRhBr2
1.0
4.6934 0.0000 0.0000
0.0000 4.6934 0.0000
0.0000 0.0000 5.9339
Mg Nb Rh Br
1 1 1 2
Direct
0.0000 0.0000 0.0000
0.0000 0.0000 0.5000
0.5000 0.5000 0.5000
0.0000 0.5000 0.0000
0.5000 0.0000 0.0000
```

## Properties
* crystal system: tetragonal
* D(E_F): 1.073 states/eV per atom
* uncorrected formation energy: 1.092 eV/atom
* magnetic moment: 0.767 μB per formula unit

=====

11.
A plane-wave DFT calculation with PBE was carried out for Ca2LaSc after structural relaxation.

```
Ca2LaSc
1.0
0.0000 4.1273 4.1331
4.1226 0.0000 4.1331
4.1226 4.1273 0.0000
Ca La Sc
2 1 1
Direct
0.0000 0.0000 0.0000
0.2500 0.2500 0.2500
0.7500 0.7500 0.7500
0.5000 0.5000 0.5000
```

## Properties
* relative energy among the computed polymorphs: 0.099 eV/atom
* ΔH_f (0 K): 0.18 eV per atom
* crystal system: orthorhombic
* D(E_F): 1.813 states/eV per atom
* magnetic moment: 0.000 μB per formula unit

=====

12.
A plane-wave DFT calculation with PBE was carried out for Hf6TcHg3 after structural relaxation.

```
Hf6TcHg3
1.0
5.0888 -2.8666 0.0000
5.0888 2.8666 0.0000
-2.1101 0.0000 7.3251
Hf Tc Hg
6 1 3
Direct
0.1015 0.6101 0.1819
0.1349 0.1349 0.4150
0.3899 0.8985 0.8181
0.6101 0.1015 0.1819
0.8651 0.8651 0.5850
0.8985 0.3899 0.8181
0.0000 0.0000 0.0000
0.3873 0.3873 0.8181
0.5000 0.5000 0.5000
0.6127 0.6127 0.1819
```

## Properties
* ΔH_f (0 K): 0.15 eV per atom
* crystal system: monoclinic
* D(E_F): 0.997 states/eV per atom
* magnetic moment: 0.000 μB per formula unit

=====

Q: What is the formula in the fifth record?
A: Zr2ZnIr9

=====

Q: D(E_F) of number 11 (Ca2LaSc)?
A: 1.813 states/eV per atom

=====

Q: Among the records above, which one has the highest magnetic moment?
A: PuHfNpIr

=====

What did the sixth record say?
A plane-wave DFT calculation with PBE was carried out for Cu2AgMo after structural relaxation.

```
Cu2AgMo
1.0
4.7084 0.0000 0.0000
0.0000 4.7084 0.0000
0.0000 0.0000 2.6358
Cu Ag Mo
2 1 1
Direct
0.0000 0.5000 0.0000
0.5000 0.0000 0.0000
0.0000 0.0000 0.5000
0.5000 0.5000 0.5000
```

## Properties
* relative energy among the computed polymorphs: 0.172 eV/atom
* ΔH_f (0 K): 0.38 eV per atom
* crystal system: tetragonal
* D(E_F): 0.695 states/eV per atom
* magnetic moment: 0.000 μB per formula unit